MgRe2 after structural relaxation. Source: Alexandria, functional PBE.

```
MgRe2
1.0
5.3787 0.0000 0.0000
0.0000 4.3747 0.0000
0.0000 0.0000 8.1744
Re Mg
8 4
direct
0.1029 0.2500 0.3034
0.1150 0.2500 0.6109
0.3850 0.7500 0.1109
0.3971 0.7500 0.8034
0.6029 0.2500 0.1966
0.6150 0.2500 0.8891
0.8850 0.7500 0.3891
0.8971 0.7500 0.6966
0.1225 0.2500 0.9512
0.3775 0.7500 0.4512
0.6225 0.2500 0.5488
0.8775 0.7500 0.0488
```

Formation energy from the elements   0.299 eV/atom
M_tot   0.00 Bohr magnetons per cell
Space-group type   Pnma (62)
Energy above the most stable polymorph in this dataset   0.1809 eV per atom
Calculated density   13700 kg/m3